# DyHoGa2 PBE-GGA optimized geometry
data_DyHoGa2
_symmetry_space_group_name_H-M 'F m -3 m'
_symmetry_Int_Tables_number 225
_symmetry_space_group_name_Hall '-F 4 2 3'
_cell_length_a 7.124
_cell_length_b 7.124
_cell_length_c 7.124
_cell_angle_alpha 90.00
_cell_angle_beta 90.00
_cell_angle_gamma 90.00
loop_
_atom_site_label
_atom_site_type_symbol
_atom_site_fract_x
_atom_site_fract_y
_atom_site_fract_z
_atom_site_occupancy
Dy1 Dy 0.000 0.000 0.000 1
Ho1 Ho 0.000 0.000 0.500 1
Ga1 Ga 0.250 0.250 0.250 1
# calculated total energy: -4.39 eV/atom
# polymorph energy (0 for the lowest one): 0.048 eV per atom
# volume: 22.60 Å³/atom
# magnetization: 0.0 μB/f.u.

=====

# Dy3HoGa PBE-GGA optimized geometry
data_Dy3HoGa
_symmetry_space_group_name_H-M 'C 1 2/m 1'
_symmetry_Int_Tables_number 12
_symmetry_space_group_name_Hall '-C 2y'
_cell_length_a 11.792
_cell_length_b 8.883
_cell_length_c 7.672
_cell_angle_alpha 90.00
_cell_angle_beta 129.99
_cell_angle_gamma 90.00
loop_
_atom_site_label
_atom_site_type_symbol
_atom_site_fract_x
_atom_site_fract_y
_atom_site_fract_z
_atom_site_occupancy
Dy1 Dy 0.054 0.000 0.330 1
Dy2 Dy 0.219 0.308 0.753 1
Ho1 Ho 0.067 0.500 0.269 1
Ga1 Ga 0.244 0.500 0.114 1
# calculated total energy: -4.35 eV/atom
# volume: 30.79 Å³/atom
# magnetization: 0.0 μB/f.u.

=====

# DyHo2Ga PBE-GGA optimized geometry
data_DyHo2Ga
_symmetry_space_group_name_H-M 'R 3 m'
_symmetry_Int_Tables_number 160
_symmetry_space_group_name_Hall 'R 3 -2"'
_cell_length_a 3.5922
_cell_length_b 3.5922
_cell_length_c 30.4294
_cell_angle_alpha 90.00
_cell_angle_beta 90.00
_cell_angle_gamma 120.00
loop_
_atom_site_label
_atom_site_type_symbol
_atom_site_fract_x
_atom_site_fract_y
_atom_site_fract_z
_atom_site_occupancy
Dy1 Dy 0.0000 0.0000 0.0000 1
Ho1 Ho 0.0000 0.0000 0.2381 1
Ho2 Ho 0.0000 0.0000 0.4291 1
Ga1 Ga 0.0000 0.0000 0.8340 1
# calculated total energy: -4.39 eV/atom
# polymorph energy (0 for the lowest one): 0.082 eV per atom
# volume: 28.34 Å³/atom
# magnetization: 0.6 μB/f.u.

=====

# DyHo2Ga PBE-GGA optimized geometry
data_DyHo2Ga
_symmetry_space_group_name_H-M 'P 4/m m m'
_symmetry_Int_Tables_number 123
_symmetry_space_group_name_Hall '-P 4 2'
_cell_length_a 4.708
_cell_length_b 4.708
_cell_length_c 4.706
_cell_angle_alpha 90.00
_cell_angle_beta 90.00
_cell_angle_gamma 90.00
loop_
_atom_site_label
_atom_site_type_symbol
_atom_site_fract_x
_atom_site_fract_y
_atom_site_fract_z
_atom_site_occupancy
Dy1 Dy 0.000 0.000 0.000 1
Ho1 Ho 0.000 0.500 0.500 1
Ga1 Ga 0.500 0.500 0.000 1
# calculated total energy: -4.44 eV/atom
# polymorph energy (0 for the lowest one): 0.039 eV per atom
# volume: 26.08 Å³/atom
# magnetization: 0.0 μB/f.u.

=====

# DyHoGa2 PBE-GGA optimized geometry
data_DyHoGa2
_symmetry_space_group_name_H-M 'A m m 2'
_symmetry_Int_Tables_number 38
_symmetry_space_group_name_Hall 'A 2 -2'
_cell_length_a 4.034
_cell_length_b 4.354
_cell_length_c 10.864
_cell_angle_alpha 90.00
_cell_angle_beta 90.00
_cell_angle_gamma 90.00
loop_
_atom_site_label
_atom_site_type_symbol
_atom_site_fract_x
_atom_site_fract_y
_atom_site_fract_z
_atom_site_occupancy
Dy1 Dy 0.000 0.000 0.000 1
Ho1 Ho 0.500 0.000 0.278 1
Ga1 Ga 0.000 0.000 0.717 1
Ga2 Ga 0.500 0.000 0.562 1
# calculated total energy: -4.44 eV/atom
# polymorph energy (0 for the lowest one): 0.000 eV per atom
# volume: 23.85 Å³/atom
# magnetization: 0.0 μB/f.u.

=====

# DyHo4Ga PBE-GGA optimized geometry
data_DyHo4Ga
_symmetry_space_group_name_H-M 'C 1 2/c 1'
_symmetry_Int_Tables_number 15
_symmetry_space_group_name_Hall '-C 2yc'
_cell_length_a 8.727
_cell_length_b 13.465
_cell_length_c 6.212
_cell_angle_alpha 90.00
_cell_angle_beta 108.24
_cell_angle_gamma 90.00
loop_
_atom_site_label
_atom_site_type_symbol
_atom_site_fract_x
_atom_site_fract_y
_atom_site_fract_z
_atom_site_occupancy
Dy1 Dy 0.000 0.096 0.250 1
Ho1 Ho 0.100 0.318 0.546 1
Ho2 Ho 0.222 0.114 0.877 1
Ga1 Ga 0.000 0.500 0.250 1
# calculated total energy: -4.42 eV/atom
# volume: 28.89 Å³/atom
# magnetization: 0.0 μB/f.u.

=====

# DyHo3Ga4 PBE-GGA optimized geometry
data_DyHo3Ga4
_symmetry_space_group_name_H-M 'R -3 m'
_symmetry_Int_Tables_number 166
_symmetry_space_group_name_Hall '-R 3 2"'
_cell_length_a 5.0265
_cell_length_b 5.0265
_cell_length_c 24.6995
_cell_angle_alpha 90.00
_cell_angle_beta 90.00
_cell_angle_gamma 120.00
loop_
_atom_site_label
_atom_site_type_symbol
_atom_site_fract_x
_atom_site_fract_y
_atom_site_fract_z
_atom_site_occupancy
Dy1 Dy 0.0000 0.0000 0.0000 1
Ho1 Ho 0.0000 0.0000 0.2499 1
Ho2 Ho 0.0000 0.0000 0.5000 1
Ga1 Ga 0.0000 0.0000 0.1252 1
Ga2 Ga 0.0000 0.0000 0.3752 1
# calculated total energy: -4.38 eV/atom
# polymorph energy (0 for the lowest one): 0.000 eV per atom
# volume: 22.52 Å³/atom
# magnetization: 0.0 μB/f.u.

=====

# Dy2HoGa9 PBE-GGA optimized geometry
data_Dy2HoGa9
_symmetry_space_group_name_H-M 'P 4/m m m'
_symmetry_Int_Tables_number 123
_symmetry_space_group_name_Hall '-P 4 2'
_cell_length_a 4.267
_cell_length_b 4.267
_cell_length_c 12.799
_cell_angle_alpha 90.00
_cell_angle_beta 90.00
_cell_angle_gamma 90.00
loop_
_atom_site_label
_atom_site_type_symbol
_atom_site_fract_x
_atom_site_fract_y
_atom_site_fract_z
_atom_site_occupancy
Dy1 Dy 0.000 0.000 0.167 1
Ho1 Ho 0.000 0.000 0.500 1
Ga1 Ga 0.000 0.500 0.000 1
Ga2 Ga 0.000 0.500 0.334 1
Ga3 Ga 0.500 0.500 0.167 1
Ga4 Ga 0.500 0.500 0.500 1
# calculated total energy: -3.95 eV/atom
# volume: 19.42 Å³/atom
# magnetization: 0.0 μB/f.u.